No. 1
# ReH3Rh (PBE, optimized geometry)
# Calculated volume (Å³ per cell): 40.6
# E_tot (eV per atom): -5.43
data_ReH3Rh
_chemical_formula_sum 'Re1 H3 Rh1'
_space_group_name_H-M_alt 'P m -3 m'
_space_group_IT_number 221
_space_group_name_Hall '-P 4 2 3'
_cell_length_a 3.437
_cell_length_b 3.437
_cell_length_c 3.437
_cell_angle_alpha 90.00
_cell_angle_beta 90.00
_cell_angle_gamma 90.00
loop_
_atom_site_label
_atom_site_fract_x
_atom_site_fract_y
_atom_site_fract_z
Re1 0.000 0.000 0.000
H1 0.000 0.000 0.500
Rh1 0.500 0.500 0.500

***

No. 2
# YCrCl2 (PBE, optimized geometry)
# Formation energy (no corrections) (eV per atom): -0.48
# Calculated volume (Å³ per cell): 173.6
# E_tot (eV per atom): -5.43
data_YCrCl2
_chemical_formula_sum 'Y2 Cr2 Cl4'
_space_group_name_H-M_alt 'I -4 m 2'
_space_group_IT_number 119
_space_group_name_Hall 'I -4 -2'
_cell_length_a 3.853
_cell_length_b 3.853
_cell_length_c 11.698
_cell_angle_alpha 90.00
_cell_angle_beta 90.00
_cell_angle_gamma 90.00
loop_
_atom_site_label
_atom_site_fract_x
_atom_site_fract_y
_atom_site_fract_z
Y1 0.000 0.000 0.000
Cr1 0.000 0.500 0.250
Cl1 0.000 0.000 0.500
Cl2 0.000 0.500 0.750

***

No. 3
# Pu2TiF8 (PBE, optimized geometry)
# Formation energy (no corrections) (eV per atom): -3.34
# Calculated volume (Å³ per cell): 280.0
# E_tot (eV per atom): -8.03
data_Pu2TiF8
_chemical_formula_sum 'Pu4 Ti2 F16'
_space_group_name_H-M_alt 'C 1 2/m 1'
_space_group_IT_number 12
_cell_length_a 14.065
_cell_length_b 3.977
_cell_length_c 5.344
_cell_angle_alpha 90.00
_cell_angle_beta 110.49
_cell_angle_gamma 90.00
loop_
_space_group_symop_operation_xyz
'x,y,z'
'-x,-y,-z'
'-x,y,-z'
'x,-y,z'
'x+1/2,y+1/2,z'
'-x+1/2,-y+1/2,-z'
'-x+1/2,y+1/2,-z'
'x+1/2,-y+1/2,z'
loop_
_atom_site_label
_atom_site_fract_x
_atom_site_fract_y
_atom_site_fract_z
Pu1 0.165 0.000 0.168
Ti1 0.000 0.500 0.500
F1 0.017 0.000 0.292
F2 0.091 0.500 0.901
F3 0.148 0.500 0.453
F4 0.222 0.000 0.797

***

No. 4
# LaMgAg2 (PBE, optimized geometry)
# Calculated volume (Å³ per cell): 191.3
# E_tot (eV per atom): -3.16
data_LaMgAg2
_chemical_formula_sum 'La2 Mg2 Ag4'
_space_group_name_H-M_alt 'I m m 2'
_space_group_IT_number 44
_cell_length_a 3.381
_cell_length_b 5.382
_cell_length_c 10.515
_cell_angle_alpha 90.00
_cell_angle_beta 90.00
_cell_angle_gamma 90.00
loop_
_space_group_symop_operation_xyz
'x,y,z'
'-x,-y,z'
'-x,y,z'
'x,-y,z'
'x+1/2,y+1/2,z+1/2'
'-x+1/2,-y+1/2,z+1/2'
'-x+1/2,y+1/2,z+1/2'
'x+1/2,-y+1/2,z+1/2'
loop_
_atom_site_label
_atom_site_fract_x
_atom_site_fract_y
_atom_site_fract_z
La1 0.000 0.000 0.000
Mg1 0.000 0.500 0.788
Ag1 0.000 0.000 0.513
Ag2 0.000 0.500 0.234

***

No. 5
# Tb9PmNd2 (PBE, optimized geometry)
# Calculated volume (Å³ per cell): 391.6
# E_tot (eV per atom): -4.65
data_Tb9PmNd2
_chemical_formula_sum 'Tb9 Pm1 Nd2'
_space_group_name_H-M_alt 'P 4/m m m'
_space_group_IT_number 123
_space_group_name_Hall '-P 4 2'
_cell_length_a 5.074
_cell_length_b 5.074
_cell_length_c 15.214
_cell_angle_alpha 90.00
_cell_angle_beta 90.00
_cell_angle_gamma 90.00
loop_
_atom_site_label
_atom_site_fract_x
_atom_site_fract_y
_atom_site_fract_z
Tb1 0.000 0.000 0.000
Tb2 0.000 0.000 0.333
Tb3 0.000 0.500 0.166
Tb4 0.000 0.500 0.500
Pm1 0.500 0.500 0.000
Nd1 0.500 0.500 0.333

***

No. 6
# BaCoGe2 (PBE, optimized geometry)
# Calculated volume (Å³ per cell): 423.9
# E_tot (eV per atom): -4.84
data_BaCoGe2
_chemical_formula_sum 'Ba4 Co4 Ge8'
_space_group_name_H-M_alt 'I 41/a m d'
_space_group_IT_number 141
_cell_length_a 5.397
_cell_length_b 5.397
_cell_length_c 14.557
_cell_angle_alpha 90.00
_cell_angle_beta 90.00
_cell_angle_gamma 90.00
loop_
_space_group_symop_operation_xyz
'x,y,z'
'-x,-y,-z'
'-y+1/4,x+3/4,z+1/4'
'y+1/4,-x+3/4,-z+1/4'
'-x+1/2,-y,z+1/2'
'x+1/2,y,-z+1/2'
'y+1/4,-x+1/4,z+3/4'
'-y+1/4,x+1/4,-z+3/4'
'x,-y,-z'
'-x,y,z'
'-y+1/4,-x+1/4,-z+3/4'
'y+1/4,x+1/4,z+3/4'
'-x+1/2,y,-z+1/2'
'x+1/2,-y,z+1/2'
'y+1/4,x+3/4,-z+1/4'
'-y+1/4,-x+3/4,z+1/4'
'x+1/2,y+1/2,z+1/2'
'-x+1/2,-y+1/2,-z+1/2'
'-y+3/4,x+1/4,z+3/4'
'y+3/4,-x+1/4,-z+3/4'
'-x,-y+1/2,z'
'x,y+1/2,-z'
'y+3/4,-x+3/4,z+1/4'
'-y+3/4,x+3/4,-z+1/4'
'x+1/2,-y+1/2,-z+1/2'
'-x+1/2,y+1/2,z+1/2'
'-y+3/4,-x+3/4,-z+1/4'
'y+3/4,x+3/4,z+1/4'
'-x,y+1/2,-z'
'x,-y+1/2,z'
'y+3/4,x+1/4,-z+3/4'
'-y+3/4,-x+1/4,z+3/4'
loop_
_atom_site_label
_atom_site_fract_x
_atom_site_fract_y
_atom_site_fract_z
Ba1 0.000 0.250 0.375
Co1 0.000 0.250 0.875
Ge1 0.000 0.000 0.000

***

No. 7
# Sb2OsC6O6F12 (PBE, optimized geometry)
# Formation energy (no corrections) (eV per atom): -1.57
# Calculated volume (Å³ per cell): 892.4
# E_tot (eV per atom): -6.27
data_Sb2OsC6O6F12
_chemical_formula_sum 'Sb4 Os2 C12 O12 F24'
_space_group_name_H-M_alt 'P 4/m n c'
_space_group_IT_number 128
_space_group_name_Hall '-P 4 2n'
_cell_length_a 8.408
_cell_length_b 8.408
_cell_length_c 12.622
_cell_angle_alpha 90.00
_cell_angle_beta 90.00
_cell_angle_gamma 90.00
loop_
_atom_site_label
_atom_site_fract_x
_atom_site_fract_y
_atom_site_fract_z
Sb1 0.000 0.500 0.250
Os1 0.000 0.000 0.000
C1 0.000 0.000 0.160
C2 0.129 0.202 0.000
O1 0.000 0.000 0.250
O2 0.183 0.299 0.500
F1 0.107 0.619 0.141
F2 0.161 0.339 0.250

***

No. 8
# Cd2Ag5Au4 (PBE, optimized geometry)
# Calculated volume (Å³ per cell): 432.2
# E_tot (eV per atom): -2.66
data_Cd2Ag5Au4
_chemical_formula_sum 'Cd4 Ag10 Au8'
_space_group_name_H-M_alt 'C 1 2/m 1'
_space_group_IT_number 12
_cell_length_a 15.497
_cell_length_b 5.497
_cell_length_c 5.075
_cell_angle_alpha 90.00
_cell_angle_beta 91.35
_cell_angle_gamma 90.00
loop_
_space_group_symop_operation_xyz
'x,y,z'
'-x,-y,-z'
'-x,y,-z'
'x,-y,z'
'x+1/2,y+1/2,z'
'-x+1/2,-y+1/2,-z'
'-x+1/2,y+1/2,-z'
'x+1/2,-y+1/2,z'
loop_
_atom_site_label
_atom_site_fract_x
_atom_site_fract_y
_atom_site_fract_z
Cd1 0.180 0.000 0.128
Ag1 0.000 0.000 0.000
Ag2 0.093 0.249 0.611
Au1 0.078 0.500 0.121
Au2 0.240 0.500 0.363